Entry 1:
ErSc4Pd2: relaxed, PBE.

## Properties
ρ   5.79 g/cm³
Fermi-level density of states   7.7 states/eV per cell
DFT formation energy   -317 meV per atom
Space-group type   R-3m
Volume   160 Å³/cell

```
ErSc4Pd2
1.0
-0.136 2.648 -2.198
-1.261 -0.458 -3.172
-14.775 4.291 3.384
Er Sc Pd
1 4 2
direct
0.500 0.500 0.500
0.694 0.694 0.917
0.892 0.892 0.323
0.306 0.306 0.083
0.108 0.108 0.677
0.599 0.599 0.203
0.401 0.401 0.797
```

***

Entry 2:
Ba8Pd3Br3N: relaxed, PBE.

## Properties
ρ   4.66 g/cm³
Fermi-level density of states   11.3 states/eV per cell
Space-group type   R-3m
Energy relative to the elements, uncorrected   -0.938 eV/atom
Volume   595 Å³/cell

```
Ba8Pd3Br3N
1.0
-8.281 -2.222 -3.080
6.145 -6.522 1.656
-4.074 4.491 7.714
Ba Pd Br N
8 3 3 1
direct
0.259 0.519 0.279
0.741 0.481 0.721
0.785 0.570 0.308
0.215 0.430 0.692
0.785 0.022 0.308
0.215 0.978 0.692
0.237 0.022 0.308
0.763 0.978 0.692
0.500 0.000 0.500
0.500 0.500 0.500
0.000 0.500 0.500
0.000 0.000 0.000
0.000 0.500 0.000
0.500 0.500 0.000
0.000 0.000 0.500
```

***

Entry 3:
CaCoMo2: relaxed, PBE.

## Properties
Offset from the most stable computed form   165 meV/atom
ρ   6.33 g/cm³
Fermi-level density of states   5.7 states/eV per cell
DFT formation energy   590 meV per atom
Space-group type   P4/mmm
Volume   76 Å³/cell

```
CaCoMo2
1.0
3.301 0.000 0.000
0.000 3.301 0.000
0.000 0.000 7.006
Mo Co Ca
2 1 1
direct
0.000 0.000 0.912
0.000 0.000 0.588
0.500 0.500 0.750
0.500 0.500 0.250
```

***

Entry 4:
Ta4Nb2Pt: relaxed, PBE.

## Properties
ρ   14.00 g/cm³
Fermi-level density of states   13.2 states/eV per cell
DFT formation energy   131 meV per atom
Space-group type   P-1
Volume   262 Å³/cell

```
Ta4Nb2Pt
1.0
0.232 4.631 -2.803
-8.122 -0.832 0.838
0.582 5.938 3.397
Ta Nb Pt
8 4 2
direct
0.749 0.236 0.966
0.752 0.514 0.284
0.220 0.038 0.828
0.687 0.118 0.358
0.328 0.646 0.870
0.280 0.713 0.422
0.813 0.632 0.892
0.172 0.104 0.380
0.250 0.375 0.625
0.750 0.375 0.625
0.250 0.375 0.125
0.750 0.875 0.625
0.554 0.912 0.062
0.946 0.838 0.188
```

***

Entry 5:
Cs3BePd: relaxed, PBE.

## Properties
Offset from the most stable computed form   0 meV/atom
ρ   2.95 g/cm³
Fermi-level density of states   4.2 states/eV per cell
DFT formation energy   650 meV per atom
Space-group type   Pm-3m
Volume   290 Å³/cell

```
Cs3BePd
1.0
6.616 0.000 0.000
0.000 6.616 0.000
0.000 0.000 6.616
Cs Be Pd
3 1 1
direct
0.000 0.500 0.000
0.000 0.000 0.500
0.500 0.000 0.000
0.500 0.500 0.500
0.000 0.000 0.000
```

***

Entry 6:
Er2Tm3Pb4: relaxed, PBE.

## Properties
Offset from the most stable computed form   43 meV/atom
ρ   10.42 g/cm³
Fermi-level density of states   6.5 states/eV per cell
DFT formation energy   -336 meV per atom
Space-group type   C2/m
Volume   266 Å³/cell

```
Er2Tm3Pb4
1.0
4.833 0.000 0.000
-2.417 5.591 0.447
0.000 -1.615 9.722
Er Tm Pb
2 3 4
direct
0.318 0.635 0.191
0.682 0.365 0.809
0.368 0.736 0.573
0.000 0.000 0.000
0.632 0.264 0.427
0.641 0.282 0.118
0.084 0.168 0.639
0.916 0.832 0.361
0.359 0.718 0.882
```

***

Entry 7:
CrRe3: relaxed, PBE.

## Properties
ρ   17.65 g/cm³
Fermi-level density of states   4.5 states/eV per cell
DFT formation energy   174 meV per atom
Space-group type   Fm-3m
Volume   57 Å³/cell

```
CrRe3
1.0
-3.980 -0.302 1.681
-0.573 -3.779 -2.036
-0.565 0.259 4.286
Cr Re
1 3
direct
0.000 0.000 0.000
0.250 0.250 0.500
0.500 0.500 0.000
0.750 0.750 0.500
```

***

Entry 8:
AcPmAu: relaxed, PBE.

## Properties
Offset from the most stable computed form   169 meV/atom
ρ   9.01 g/cm³
Fermi-level density of states   15.4 states/eV per cell
DFT formation energy   -368 meV per atom
Space-group type   Pnma
Volume   419 Å³/cell

```
AcPmAu
1.0
-0.474 -4.917 -1.265
5.943 -1.676 4.292
-6.623 -1.564 8.562
Ac Au Pm
4 4 4
direct
0.750 0.967 0.142
0.250 0.467 0.358
0.250 0.033 0.858
0.750 0.533 0.642
0.750 0.740 0.386
0.250 0.240 0.114
0.250 0.260 0.614
0.750 0.760 0.886
0.750 0.463 0.101
0.250 0.963 0.399
0.250 0.537 0.899
0.750 0.037 0.601
```